No. 1
TlPdS2Cl, PBEsol geometry, DFT SCAN; energy relative to the elements, uncorrected = -0.46 eV/f.u.; magnetic moment = 1.53 Bohr magnetons per cell; density = 6352 kg/m3; V = 107.3 Å³ per cell; symmetry = P4/mmm (123)
1.0
4.6744 0.0000 0.0000
0.0000 4.6744 0.0000
0.0000 0.0000 4.9099
Tl S Pd Cl
1 2 1 1
direct
0.5000 0.5000 0.5000 Tl
0.0000 0.5000 0.0000 S
0.5000 0.0000 0.0000 S
0.0000 0.0000 0.0000 Pd
0.0000 0.0000 0.5000 Cl

---

No. 2
La2YTl, PBEsol geometry, DFT SCAN; magnetic moment = 0.00 Bohr magnetons per cell; density = 7729 kg/m3; V = 122.7 Å³ per cell; symmetry = Pmmm (47); energy above the most stable polymorph in this dataset = 51 meV per atom; formation energy from the elements = -0.296 eV per atom
1.0
-3.5536 0.1379 -1.2307
1.4919 -0.7674 -4.3938
-0.6074 -6.8350 0.9876
Y Tl La
1 1 2
direct
0.5000 0.5000 0.5000 Y
0.5000 0.5000 0.0000 Tl
0.0000 0.0000 0.7669 La
0.0000 0.0000 0.2331 La

---

No. 3
LaSnAu, PBEsol geometry, DFT SCAN; magnetic moment = 0.00 Bohr magnetons per cell; density = 10026 kg/m3; V = 150.6 Å³ per cell; symmetry = P6_3mc (186); formation energy from the elements = -1.085 eV per atom
1.0
4.7459 0.0000 0.0000
-2.3730 4.1101 0.0000
0.0000 0.0000 7.7198
Au Sn La
2 2 2
direct
0.6667 0.3333 0.7887 Au
0.3333 0.6667 0.2887 Au
0.6667 0.3333 0.2046 Sn
0.3333 0.6667 0.7046 Sn
0.0000 0.0000 0.9816 La
0.0000 0.0000 0.4816 La

---

No. 4
SrCuPb2, PBEsol geometry, DFT SCAN; magnetic moment = 0.00 Bohr magnetons per cell; density = 9155 kg/m3; V = 102.6 Å³ per cell; symmetry = I4/mmm (139); formation energy from the elements = -0.081 eV per atom
1.0
-1.5015 -0.7387 -5.0032
2.4442 -4.6751 -0.0433
-3.5645 1.0789 3.6919
Cu Pb Sr
1 2 1
direct
0.0000 0.0000 0.0000 Cu
0.7500 0.2500 0.5000 Pb
0.2500 0.7500 0.5000 Pb
0.5000 0.5000 0.0000 Sr

---

No. 5
InReHg2, PBEsol geometry, DFT SCAN; magnetic moment = 0.00 Bohr magnetons per cell; density = 15190 kg/m3; V = 76.8 Å³ per cell; symmetry = Pmmm (47); formation energy from the elements = 0.674 eV per atom
1.0
2.8411 0.0000 0.0000
0.0000 5.1709 0.0000
0.0000 0.0000 5.2253
Hg In Re
2 1 1
direct
0.0000 0.0000 0.0000 Hg
0.5000 0.5000 0.0000 Hg
0.5000 0.0000 0.5000 In
0.0000 0.5000 0.5000 Re

---

No. 6
Tc3BiTe, PBEsol geometry, DFT SCAN; energy relative to the elements, uncorrected = 8.04 eV/f.u.; magnetic moment = 3.25 Bohr magnetons per cell; density = 9351 kg/m3; V = 112.0 Å³ per cell; symmetry = Pm-3m (221)
1.0
4.8200 0.0000 0.0000
0.0000 4.8200 0.0000
0.0000 0.0000 4.8200
Te Bi Tc
1 1 3
direct
0.0000 0.0000 0.0000 Te
0.5000 0.5000 0.5000 Bi
0.0000 0.5000 0.0000 Tc
0.0000 0.0000 0.5000 Tc
0.5000 0.0000 0.0000 Tc

---

No. 7
Li2LaMg, PBEsol geometry, DFT SCAN; magnetic moment = 0.31 Bohr magnetons per cell; density = 3030 kg/m3; V = 97.0 Å³ per cell; symmetry = Imm2 (44); formation energy from the elements = 0.065 eV per atom
1.0
3.4107 0.0000 0.0000
0.0000 5.5097 0.0000
-1.7053 -2.7549 5.1637
La Li Mg
1 2 1
direct
0.2560 0.7560 0.5119 La
0.0335 0.0335 0.0670 Li
0.7402 0.2402 0.4804 Li
0.4703 0.4703 0.9406 Mg

---

No. 8
Al5Zn3, PBEsol geometry, DFT SCAN; magnetic moment = 0.02 Bohr magnetons per cell; density = 4316 kg/m3; V = 254.8 Å³ per cell; symmetry = I4/mcm (140); energy above the most stable polymorph in this dataset = 44 meV per atom; formation energy from the elements = 0.052 eV per atom
1.0
5.0331 0.0000 0.0000
2.5165 7.1154 0.0000
2.5165 0.0000 7.1154
Zn Al
6 10
direct
0.2500 0.0000 0.0000 Zn
0.7500 0.0000 0.0000 Zn
0.8242 0.5000 0.8516 Zn
0.1758 0.5000 0.1484 Zn
0.3242 0.8516 0.5000 Zn
0.6758 0.1484 0.5000 Zn
0.2500 0.5000 0.5000 Al
0.7500 0.5000 0.5000 Al
0.9319 0.8346 0.3015 Al
0.0681 0.1654 0.6985 Al
0.4319 0.3015 0.8346 Al
0.5681 0.6985 0.1654 Al
0.7335 0.8346 0.6985 Al
0.2665 0.1654 0.3015 Al
0.7665 0.3015 0.1654 Al
0.2335 0.6985 0.8346 Al

---

No. 9
LaIr2Os, PBEsol geometry, DFT SCAN; magnetic moment = 0.00 Bohr magnetons per cell; density = 16665 kg/m3; V = 71.1 Å³ per cell; symmetry = P2/m (10); energy above the most stable polymorph in this dataset = 0 meV per atom; formation energy from the elements = 0.004 eV per atom
1.0
2.7958 0.0000 0.0195
0.0000 3.6879 0.0000
-0.0565 0.0000 6.8955
Ir La Os
2 1 1
direct
0.0004 0.0000 0.6909 Ir
0.9996 0.0000 0.3091 Ir
0.5000 0.5000 0.0000 La
0.5000 0.5000 0.5000 Os

---

No. 10
CuRh2Br, PBEsol geometry, DFT SCAN; energy relative to the elements, uncorrected = 2.46 eV/f.u.; magnetic moment = 0.00 Bohr magnetons per cell; density = 9832 kg/m3; V = 59.0 Å³ per cell; symmetry = C2/m (12); energy above the most stable polymorph in this dataset = 164 meV per atom
1.0
2.9360 -0.0045 0.0000
-0.0748 4.6433 0.0000
-1.4306 -2.3194 4.3269
Br Cu Rh
1 1 2
direct
0.5000 0.0000 0.0000 Br
0.0000 0.5000 0.0000 Cu
0.0000 0.0000 0.5000 Rh
0.5000 0.5000 0.5000 Rh

---

No. 11
Hf3ScGa, PBEsol geometry, DFT SCAN; magnetic moment = 0.00 Bohr magnetons per cell; density = 9349 kg/m3; V = 115.5 Å³ per cell; symmetry = Pm-3m (221); formation energy from the elements = 1.328 eV per atom
1.0
4.8696 0.0000 0.0000
0.0000 4.8696 0.0000
0.0000 0.0000 4.8696
Sc Hf Ga
1 3 1
direct
0.0000 0.0000 0.0000 Sc
0.0000 0.5000 0.0000 Hf
0.0000 0.0000 0.5000 Hf
0.5000 0.0000 0.0000 Hf
0.5000 0.5000 0.5000 Ga

---

No. 12
Mg3Hg, PBEsol geometry, DFT SCAN; magnetic moment = 0.00 Bohr magnetons per cell; density = 5303 kg/m3; V = 85.7 Å³ per cell; symmetry = R-3m (166); formation energy from the elements = -0.127 eV per atom
1.0
-1.2522 0.2078 2.8852
5.3614 -1.4457 1.2831
-0.8354 5.3104 -1.8928
Mg Hg
3 1
direct
0.0000 0.5000 0.5000 Mg
0.5000 0.0000 0.5000 Mg
0.5000 0.5000 0.0000 Mg
0.0000 0.0000 0.0000 Hg

---

No. 13
KMn2Fe, PBEsol geometry, DFT SCAN; magnetic moment = 10.98 Bohr magnetons per cell; density = 5007 kg/m3; V = 67.9 Å³ per cell; symmetry = Pmmm (47); energy above the most stable polymorph in this dataset = 542 meV per atom; formation energy from the elements = 1.033 eV per atom
1.0
-1.0471 -0.6875 2.4546
-4.1872 -1.6003 -2.2343
1.9483 -4.4990 -0.4290
Fe K Mn
1 1 2
direct
0.5000 0.0000 0.5000 Fe
0.0000 0.5000 0.5000 K
0.0000 0.0000 0.0000 Mn
0.5000 0.5000 0.0000 Mn